10
Lattice="8.436 0.000 0.000 0.000 8.436 0.000 0.000 0.000 3.320" Properties=species:S:1:pos:R:3 comment="GGA-PBE Li2ZnBi2, optimized geometry" total_energy_ev_per_atom=-2.731 de_polymorph_ev_per_atom=0.0777 spacegroup=P4/mbm pbc="T T T"
Li 0.985 3.233 0.000
Li 3.233 7.451 0.000
Li 5.203 0.985 0.000
Li 7.451 5.203 0.000
Zn 0.000 0.000 1.660
Zn 4.218 4.218 1.660
Bi 1.541 5.759 1.660
Bi 2.677 1.541 1.660
Bi 5.759 6.895 1.660
Bi 6.895 2.677 1.660



4
Lattice="4.220 0.000 0.000 0.000 4.220 0.000 0.000 0.000 4.439" Properties=species:S:1:pos:R:3 comment="GGA-PBE LiZn2Bi, optimized geometry" total_energy_ev_per_atom=-2.147 spacegroup=P4/mmm pbc="T T T"
Li 0.000 0.000 0.000
Zn 0.000 2.110 2.220
Zn 2.110 0.000 2.220
Bi 2.110 2.110 0.000



4
Lattice="3.409 0.000 0.000 0.000 3.409 0.000 0.000 0.000 6.726" Properties=species:S:1:pos:R:3 comment="GGA-PBE Li2ZnBi, optimized geometry" total_energy_ev_per_atom=-2.486 spacegroup=P4/mmm pbc="T T T"
Li 0.000 0.000 1.435
Li 0.000 0.000 5.291
Zn 1.705 1.705 0.000
Bi 1.705 1.705 3.363



5
Lattice="5.471 0.000 0.000 0.000 5.471 0.000 0.000 0.000 5.471" Properties=species:S:1:pos:R:3 comment="GGA-PBE LiZnBi3, optimized geometry" total_energy_ev_per_atom=-2.658 de_polymorph_ev_per_atom=0.0000 spacegroup=Pm-3m pbc="T T T"
Li 0.000 0.000 0.000
Zn 2.735 2.735 2.735
Bi 0.000 2.735 2.735
Bi 2.735 0.000 2.735
Bi 2.735 2.735 0.000